{
  "formula": "HfCdTcB2",
  "functional": "PBE-GGA",
  "state": "optimized geometry",
  "lattice": [[4.093, 0.000, 0.000], [0.000, 4.093, 0.000], [0.000, 0.000, 5.456]],
  "species": ["Hf", "Cd", "Tc", "B", "B"],
  "fractional_positions": [[0.000, 0.000, 0.000], [0.000, 0.000, 0.500], [0.500, 0.500, 0.000], [0.000, 0.500, 0.500], [0.500, 0.000, 0.500]],
  "spacegroup": "P4/mmm (123)"
}

---

{
  "formula": "HfCdTcB2",
  "functional": "PBE-GGA",
  "state": "optimized geometry",
  "lattice": [[4.109, 0.000, 0.000], [0.000, 4.109, 0.000], [0.000, 0.000, 5.156]],
  "species": ["Hf", "Cd", "Tc", "B", "B"],
  "fractional_positions": [[0.000, 0.000, 0.000], [0.500, 0.500, 0.500], [0.500, 0.500, 0.000], [0.000, 0.500, 0.500], [0.500, 0.000, 0.500]],
  "spacegroup": "P4/mmm (123)"
}

---

{
  "formula": "CdHg3B",
  "functional": "PBE-GGA",
  "state": "optimized geometry",
  "lattice": [[4.817, 0.000, 0.000], [0.000, 4.817, 0.000], [0.000, 0.000, 4.817]],
  "species": ["Cd", "Hg", "Hg", "Hg", "B"],
  "fractional_positions": [[0.000, 0.000, 0.000], [0.000, 0.500, 0.500], [0.500, 0.000, 0.500], [0.500, 0.500, 0.000], [0.500, 0.500, 0.500]],
  "spacegroup": "Pm-3m (221)"
}

---

{
  "formula": "Cd3HgB",
  "functional": "PBE-GGA",
  "state": "optimized geometry",
  "lattice": [[4.714, 0.000, 0.000], [0.000, 4.714, 0.000], [0.000, 0.000, 4.714]],
  "species": ["Cd", "Cd", "Cd", "Hg", "B"],
  "fractional_positions": [[0.000, 0.000, 0.500], [0.000, 0.500, 0.000], [0.500, 0.000, 0.000], [0.500, 0.500, 0.500], [0.000, 0.000, 0.000]],
  "spacegroup": "Pm-3m (221)"
}

---

| no. | E_form (eV per atom) |
| --- | --- |
| 1 | 2.117 |
| 2 | 1.905 |
| 3 | 0.502 |
| 4 | 0.362 |